4
Lattice="-1.4693 -2.0982 2.3321 2.5478 -2.3075 -0.4709 4.0251 3.3177 5.5207" Properties=species:S:1:pos:R:3 comment="SrCd2Ni, optimized geometry, DFT PBE" formation_enthalpy_0k_kj_per_mol_fu=-4 pbc="T T T"
Cd 1.7538 1.4456 2.4055
Cd 0.2587 0.2133 0.3549
Ni 1.5456 -1.3734 2.3108
Sr 3.5581 0.2855 5.0712

4
Lattice="5.7741 -0.2106 0.0000 -2.6435 5.1377 0.0000 0.0000 0.0000 3.2713" Properties=species:S:1:pos:R:3 comment="SrCd2Ni, optimized geometry, DFT PBE" formation_enthalpy_0k_kj_per_mol_fu=109 pbc="T T T"
Sr -1.3217 2.5689 1.6356
Cd 0.0000 0.0000 0.0000
Cd 1.5653 2.4635 0.0000
Ni 2.8870 -0.1053 1.6356

12
Lattice="5.0159 0.0000 0.0000 2.5080 4.3439 0.0000 2.5080 1.4480 8.3051" Properties=species:S:1:pos:R:3 comment="Sr2CdNi9, optimized geometry, DFT PBE" formation_enthalpy_0k_kj_per_mol_fu=78 pbc="T T T"
Ni 3.7776 3.6109 6.3715
Ni 5.0159 4.3259 1.9335
Ni 5.0159 1.4660 6.3715
Ni 6.2543 2.1810 1.9335
Ni 6.2543 3.6109 6.3715
Ni 2.5080 1.4480 0.0300
Ni 5.0159 2.8960 4.1525
Ni 7.5239 4.3439 8.2751
Ni 3.7776 2.1810 1.9335
Cd 0.0000 0.0000 0.0000
Sr 2.5080 1.4480 4.8758
Sr 7.5239 4.3439 3.4292

8
Lattice="-0.1012 0.2797 5.2153 -4.8437 -1.9561 0.0109 0.8269 -9.0055 3.1151" Properties=species:S:1:pos:R:3 comment="SrCd2Ni, optimized geometry, DFT PBE" formation_enthalpy_0k_kj_per_mol_fu=44 pbc="T T T"
Ni -3.2447 -5.8999 2.8695
Ni -2.4725 -0.8382 2.6131
Cd -2.8518 -3.3877 2.3929
Cd -2.1215 -7.7411 4.2981
Cd -2.8193 -7.8626 6.9073
Cd -0.4435 -2.3723 3.0843
Sr -0.8734 -4.7820 5.4718
Sr 0.0000 0.0000 0.0000

4
Lattice="-1.4619 3.2717 -1.2501 -3.1175 -0.6307 1.9951 0.1157 3.2121 8.2712" Properties=species:S:1:pos:R:3 comment="Sr2CdNi, optimized geometry, DFT PBE" formation_enthalpy_0k_kj_per_mol_fu=-20 pbc="T T T"
Cd -1.4814 2.2812 1.9415
Ni -2.9823 3.5719 7.0747
Sr 0.0164 3.0961 8.0838
Sr -1.4016 1.4067 5.3206

8
Lattice="-3.3680 -2.3365 7.3733 -4.8726 -5.6046 -4.0017 -1.5454 -6.4810 2.0665" Properties=species:S:1:pos:R:3 comment="Sr2CdNi, optimized geometry, DFT PBE" formation_enthalpy_0k_kj_per_mol_fu=68 pbc="T T T"
Sr -4.4957 -8.1221 2.6118
Sr -4.0231 -5.5334 -0.6899
Sr -8.1231 -11.5257 4.7023
Sr -2.9301 -3.6629 4.2518
Ni -4.1203 -3.9705 1.6858
Ni -5.2691 -8.0281 -0.1248
Cd 0.0000 0.0000 0.0000
Cd -4.5169 -6.3940 5.5628

4
Lattice="3.9549 0.0000 0.0000 0.0000 4.3746 0.0020 0.0000 2.1942 5.7241" Properties=species:S:1:pos:R:3 comment="SrCd2Ni, optimized geometry, DFT PBE" formation_enthalpy_0k_kj_per_mol_fu=-9 pbc="T T T"
Cd 0.0000 0.2746 0.1925
Cd 1.9775 2.4597 1.3893
Sr 1.9775 4.6519 3.8453
Ni 0.0000 2.4671 3.1622

4
Lattice="-1.2867 -3.1843 0.9821 2.3324 -0.1094 2.7013 -4.9207 3.3405 4.3838" Properties=species:S:1:pos:R:3 comment="SrCd2Ni, optimized geometry, DFT PBE" formation_enthalpy_0k_kj_per_mol_fu=-5 pbc="T T T"
Ni -2.1367 1.4505 1.9036
Cd -0.2590 0.1758 0.2308
Cd -0.9158 -0.6702 3.1233
Sr -3.0240 0.7610 5.0015

4
Lattice="-0.3645 -0.1229 -3.7074 2.2262 -2.9870 -0.1202 -6.9483 -5.2128 0.8559" Properties=species:S:1:pos:R:3 comment="Sr2CdNi, optimized geometry, DFT PBE" formation_enthalpy_0k_kj_per_mol_fu=16 pbc="T T T"
Sr -6.4074 -4.8070 0.7893
Sr -1.3188 -3.2427 -1.6367
Cd -3.9551 -2.9672 0.4872
Ni -3.8278 -5.1250 -1.3276

4
Lattice="4.2358 0.0000 0.0000 0.0000 4.2368 0.0000 0.0000 0.0000 6.9745" Properties=species:S:1:pos:R:3 comment="Sr2CdNi, optimized geometry, DFT PBE" formation_enthalpy_0k_kj_per_mol_fu=67 pbc="T T T"
Cd 0.0000 0.0000 3.4149
Sr 0.0000 0.0000 6.4686
Sr 2.1179 2.1184 2.1078
Ni 2.1179 2.1184 5.4449

4
Lattice="-2.6077 -3.3181 3.2213 2.4731 -2.1218 4.1916 -1.3009 1.5425 4.9108" Properties=species:S:1:pos:R:3 comment="Sr2CdNi, optimized geometry, DFT PBE" formation_enthalpy_0k_kj_per_mol_fu=80 pbc="T T T"
Sr 0.0000 0.0000 0.0000
Sr -1.0767 -2.9231 9.2428
Ni -0.3589 -0.9744 3.0809
Cd -0.7178 -1.9487 6.1618

13
Lattice="5.1144 0.0000 2.0558 2.5572 6.7010 1.0279 0.0581 0.0000 7.2454" Properties=species:S:1:pos:R:3 comment="SrCd8Ni4, optimized geometry, DFT PBE" formation_enthalpy_0k_kj_per_mol_fu=-95 pbc="T T T"
Sr 0.0000 0.0000 0.0000
Cd 1.7161 4.4456 3.1205
Cd 1.9991 1.4963 2.4163
Cd 3.4564 4.4456 6.1806
Cd 3.1733 1.4963 6.8849
Cd 4.2733 2.2554 4.1484
Cd 4.5563 5.2046 3.4441
Cd 5.7305 5.2046 7.9127
Cd 0.8992 2.2554 5.1527
Ni 2.5862 0.0000 4.6506
Ni 3.8358 3.3505 1.5418
Ni 1.2786 3.3505 0.5139
Ni 0.0290 0.0000 3.6227

no.,energy (eV per atom)
1,-2.334
2,-2.042
3,-4.625
4,-2.209
5,-2.567
6,-2.340
7,-2.348
8,-2.337
9,-2.475
10,-2.340
11,-2.309
12,-2.547